Density functional theory data (PBE+U) for an optimized crystal structure of Rb2PmV2O6.

## Properties
magnetic moment = 3.00 μB per cell
calculated density = 4.05 Mg/m³
final energy = -6.799 eV/atom

Cell: 6.2462 6.2462 18.7219 Å, 90.00 90.00 120.00°
Closest atoms and distances in Å follow each position.
Space group R-3m (No. 166, hexagonal axes)
Asymmetric unit:
Rb 0.0000 0.0000 0.2115 (multiplicity 6)  9 O 3.12-3.23
Pm 0.0000 0.0000 0.0000 (multiplicity 3)  6 O 2.36
V 0.0000 0.0000 0.4200 (multiplicity 6)  3 O 1.76
O 0.0096 0.5048 0.2555 (multiplicity 18)  1 V 1.76